Entry 1:
DFT (PBE) results for an optimized crystal structure of Sc6TlFe2.

It has space group Immm (No. 71), with a = 8.8185 Å, b = 8.9237 Å, c = 9.3914 Å, α = 90.00°, β = 90.00° and γ = 90.00°. The asymmetric unit holds Sc at (0.0000, 0.2228, 0.2329), Sc at (0.2041, 0.5000, 0.1875), Sc at (0.2108, 0.3062, 0.5000), Tl at (0.0000, 0.0000, 0.0000), Tl at (0.0000, 0.0000, 0.5000), Fe at (0.0000, 0.3789, 0.0000) and Fe at (0.0000, 0.5000, 0.3865).

The formation enthalpy at 0 K is -1.77 eV per formula unit. The total energy is -0.241 Ha/atom. As for the crystal system: orthorhombic.

Entry 2:
DFT (PBE) results for an optimized crystal structure of Si3Pt.

It has space group P6_3/mmc (No. 194), with a = 7.4574 Å, b = 7.4574 Å, c = 2.7127 Å, α = 90.00°, β = 90.00° and γ = 120.00°. The asymmetric unit holds Si at (0.1680, 0.3360, 0.2500) and Pt at (0.3333, 0.6667, 0.7500).

The total energy is -0.208 Ha/atom. The value obtained for the raw formation energy is -0.080 eV/atom. As for the crystal system: hexagonal.

Entry 3:
DFT (PBE) results for an optimized crystal structure of Zn2CoTc.

It has space group P4/mmm (No. 123), with a = 2.5954 Å, b = 2.5954 Å, c = 7.9221 Å, α = 90.00°, β = 90.00° and γ = 90.00°. The asymmetric unit holds Zn at (0.0000, 0.0000, 0.2320), Co at (0.5000, 0.5000, 0.0000) and Tc at (0.5000, 0.5000, 0.5000).

The formation enthalpy at 0 K is 0.47 eV per formula unit. For the energy above the most stable polymorph in this dataset, the calculation gives 0.137 eV/atom. The total energy is -0.180 Ha/atom. As for the crystal system: tetragonal.

Entry 4:
DFT (PBE) results for an optimized crystal structure of SbAs2H.

It has space group Fm-3m (No. 225), with a = 6.6643 Å, b = 6.6643 Å, c = 6.6643 Å, α = 90.00°, β = 90.00° and γ = 90.00°. The asymmetric unit holds Sb at (0.0000, 0.0000, 0.0000), As at (0.2500, 0.2500, 0.2500) and H at (0.0000, 0.0000, 0.5000).

For the energy above the most stable polymorph in this dataset, the calculation gives 0.299 eV/atom. The total energy is -0.129 Ha/atom. As for the crystal system: cubic.

Entry 5:
DFT (PBE) results for an optimized crystal structure of MnCuCSeN.

It has space group Pm (No. 6), with a = 4.0802 Å, b = 2.7004 Å, c = 5.9667 Å, α = 90.00°, β = 103.93° and γ = 90.00°. The asymmetric unit holds Mn at (0.0000, 0.0000, 0.0000), Cu at (0.6755, 0.5000, 0.6149), C at (0.6309, 0.5000, 0.9628), Se at (0.1056, 0.0000, 0.4285) and N at (0.3306, 0.5000, 0.9850).

For the energy above the most stable polymorph in this dataset, the calculation gives 0.006 eV/atom. The total energy is -0.248 Ha/atom. The value obtained for the raw formation energy is 0.117 eV/atom. As for the crystal system: monoclinic.

Entry 6:
DFT (PBE) results for an optimized crystal structure of Li4As2S.

It has space group I4/mmm (No. 139), with a = 5.1279 Å, b = 5.1279 Å, c = 11.7590 Å, α = 90.00°, β = 90.00° and γ = 90.00°. The asymmetric unit holds Li at (0.0000, 0.0000, 0.1889), Li at (0.0000, 0.5000, 0.0000), As at (0.0000, 0.0000, 0.4031) and S at (0.0000, 0.0000, 0.0000).

The total energy is -0.128 Ha/atom. The value obtained for the raw formation energy is -0.479 eV/atom. As for the crystal system: tetragonal.

Entry 7:
DFT (PBE) results for an optimized crystal structure of Tb12SmEr2.

It has space group Cmme (No. 67), with a = 7.0639 Å, b = 11.2900 Å, c = 24.6188 Å, α = 90.00°, β = 90.00° and γ = 90.00°. The asymmetric unit holds Tb at (0.0000, 0.0007, 0.0789), Tb at (0.0000, 0.0147, 0.5614), Tb at (0.2382, 0.2500, 0.4138), Tb at (0.2495, 0.2500, 0.8699), Tb at (0.2500, 0.0000, 0.2006), Tb at (0.2500, 0.0000, 0.3263), Sm at (0.0000, 0.2500, 0.9997), Er at (0.0000, 0.2500, 0.2665) and Er at (0.0000, 0.2500, 0.7304).

The formation enthalpy at 0 K is 2.53 eV per formula unit. The total energy is -0.164 Ha/atom. As for the crystal system: orthorhombic.

Entry 8:
DFT (PBE) results for an optimized crystal structure of Mg2CrCd.

It has space group Cmmm (No. 65), with a = 3.7205 Å, b = 4.3068 Å, c = 9.0581 Å, α = 90.00°, β = 90.00° and γ = 90.00°. The asymmetric unit holds Mg at (0.0000, 0.0000, 0.2239), Cr at (0.0000, 0.5000, 0.0000) and Cd at (0.0000, 0.5000, 0.5000).

The formation enthalpy at 0 K is 1.38 eV per formula unit. The total energy is -0.113 Ha/atom. As for the crystal system: orthorhombic.

Entry 9:
DFT (PBE) results for an optimized crystal structure of PuZnSi2.

It has space group P4/mmm (No. 123), with a = 4.1934 Å, b = 4.1934 Å, c = 3.9805 Å, α = 90.00°, β = 90.00° and γ = 90.00°. The asymmetric unit holds Pu at (0.0000, 0.0000, 0.0000), Zn at (0.5000, 0.5000, 0.0000) and Si at (0.0000, 0.5000, 0.5000).

The total energy is -0.252 Ha/atom. The value obtained for the raw formation energy is -0.252 eV/atom. As for the crystal system: tetragonal.

Entry 10:
DFT (PBE) results for an optimized crystal structure of Ac3Pm2Er2.

It has space group Cmmm (No. 65), with a = 5.6291 Å, b = 25.1098 Å, c = 3.7294 Å, α = 90.00°, β = 90.00° and γ = 90.00°. The asymmetric unit holds Ac at (0.0000, 0.0000, 0.0000), Ac at (0.0000, 0.1544, 0.0000), Pm at (0.0000, 0.4265, 0.5000) and Er at (0.0000, 0.2851, 0.5000).

The formation enthalpy at 0 K is 0.43 eV per formula unit. The total energy is -0.160 Ha/atom. As for the crystal system: orthorhombic.

Entry 11:
DFT (PBE) results for an optimized crystal structure of ErLu2Ga.

It has space group P4/mmm (No. 123), with a = 3.4580 Å, b = 3.4580 Å, c = 8.6922 Å, α = 90.00°, β = 90.00° and γ = 90.00°. The asymmetric unit holds Er at (0.0000, 0.0000, 0.0000), Lu at (0.5000, 0.5000, 0.2895) and Ga at (0.0000, 0.0000, 0.5000).

The formation enthalpy at 0 K is -1.16 eV per formula unit. For the energy above the most stable polymorph in this dataset, the calculation gives 0.000 eV/atom. The total energy is -0.163 Ha/atom. As for the crystal system: tetragonal.

Entry 12:
DFT (PBE) results for an optimized crystal structure of Li3Co.

It has space group P2/m (No. 10), with a = 2.4536 Å, b = 4.3835 Å, c = 5.1406 Å, α = 90.00°, β = 97.68° and γ = 90.00°. The asymmetric unit holds Li at (0.0000, 0.0000, 0.0000), Li at (0.1951, 0.5000, 0.7272) and Co at (0.5000, 0.0000, 0.5000).

The formation enthalpy at 0 K is 0.83 eV per formula unit. The total energy is -0.110 Ha/atom. As for the crystal system: monoclinic.

Entry 13:
DFT (PBE) results for an optimized crystal structure of InBi3Pd3.

It has space group R-3 (No. 148, hexagonal axes), with a = 8.2662 Å, b = 8.2662 Å, c = 17.1914 Å, α = 90.00°, β = 90.00° and γ = 120.00°. The asymmetric unit holds In at (0.0000, 0.0000, 0.1613), Bi at (0.0107, 0.7411, 0.6014) and Pd at (0.0103, 0.6120, 0.4342).

The formation enthalpy at 0 K is -1.81 eV per formula unit. For the energy above the most stable polymorph in this dataset, the calculation gives 0.000 eV/atom. The total energy is -0.167 Ha/atom. As for the crystal system: trigonal.

Entry 14:
DFT (PBE) results for an optimized crystal structure of SnHOs.

It has space group P2_1/m (No. 11), with a = 4.4713 Å, b = 3.0204 Å, c = 6.5836 Å, α = 90.00°, β = 102.57° and γ = 90.00°. The asymmetric unit holds Sn at (0.1618, 0.2500, 0.2386), H at (0.2882, 0.2500, 0.5728) and Os at (0.3634, 0.2500, 0.8369).

For the energy above the most stable polymorph in this dataset, the calculation gives 0.017 eV/atom. The total energy is -0.219 Ha/atom. As for the crystal system: monoclinic.

Entry 15:
DFT (PBE) results for an optimized crystal structure of NaTlCuHg.

It has space group F-43m (No. 216), with a = 7.0186 Å, b = 7.0186 Å, c = 7.0186 Å, α = 90.00°, β = 90.00° and γ = 90.00°. The asymmetric unit holds Na at (0.0000, 0.0000, 0.0000), Tl at (0.2500, 0.2500, 0.2500), Cu at (0.0000, 0.0000, 0.5000) and Hg at (0.2500, 0.2500, 0.7500).

The formation enthalpy at 0 K is 0.22 eV per formula unit. The total energy is -0.072 Ha/atom. As for the crystal system: cubic.

Entry 16:
DFT (PBE) results for an optimized crystal structure of Cs3CaBr.

It has space group Pm-3m (No. 221), with a = 7.1807 Å, b = 7.1807 Å, c = 7.1807 Å, α = 90.00°, β = 90.00° and γ = 90.00°. The asymmetric unit holds Cs at (0.0000, 0.0000, 0.5000), Ca at (0.5000, 0.5000, 0.5000) and Br at (0.0000, 0.0000, 0.0000).

The total energy is -0.065 Ha/atom. The value obtained for the raw formation energy is -0.513 eV/atom. As for the crystal system: cubic.

Entry 17:
DFT (PBE) results for an optimized crystal structure of ZrAgBi2.

It has space group Fm-3m (No. 225), with a = 7.4055 Å, b = 7.4055 Å, c = 7.4055 Å, α = 90.00°, β = 90.00° and γ = 90.00°. The asymmetric unit holds Zr at (0.0000, 0.0000, 0.0000), Ag at (0.0000, 0.0000, 0.5000) and Bi at (0.2500, 0.2500, 0.2500).

The formation enthalpy at 0 K is 0.40 eV per formula unit. The total energy is -0.172 Ha/atom. As for the crystal system: cubic.

Entry 18:
DFT (PBE) results for an optimized crystal structure of TbGa3NiRu.

It has space group Cmcm (No. 63), with a = 7.6459 Å, b = 10.5562 Å, c = 5.5919 Å, α = 90.00°, β = 90.00° and γ = 90.00°. The asymmetric unit holds Tb at (0.0000, 0.2074, 0.2500), Ga at (0.0000, 0.3131, 0.7500), Ga at (0.2481, 0.0000, 0.0000), Ni at (0.0000, 0.4650, 0.2500) and Ru at (0.0000, 0.0841, 0.7500).

The formation enthalpy at 0 K is -2.02 eV per formula unit. The total energy is -0.189 Ha/atom. As for the crystal system: orthorhombic.

Entry 19:
DFT (PBE) results for an optimized crystal structure of K2NaN8.

It has space group P6/mmm (No. 191), with a = 6.8287 Å, b = 6.8287 Å, c = 5.4237 Å, α = 90.00°, β = 90.00° and γ = 120.00°. The asymmetric unit holds K at (0.3333, 0.6667, 0.0000), Na at (0.0000, 0.0000, 0.0000), N at (0.0000, 0.0000, 0.3943) and N at (0.0000, 0.5000, 0.3937).

The total energy is -0.235 Ha/atom. The value obtained for the raw formation energy is -0.029 eV/atom. As for the crystal system: hexagonal.